# Sb2AsIr, relaxed, DFT PBE-GGA
# Energy above the most stable polymorph in this dataset   0.429 eV/atom
# Uncorrected formation energy   383.9 meV/atom
# Fermi-level density of states   2.428 states/eV/f.u.
# Crystal system   tetragonal
# VASP energy   -0.3715 Ry per atom
# Theoretical density   10.334 g/cm3
data_Sb2AsIr
_chemical_formula_sum 'Sb4 As2 Ir2'
_cell_length_a 4.6072
_cell_length_b 4.6072
_cell_length_c 7.7319
_cell_angle_alpha 90.00
_cell_angle_beta 90.00
_cell_angle_gamma 90.00
_space_group_name_H-M_alt 'I 4/m m m'
_space_group_IT_number 139
_space_group_name_Hall '-I 4 2'
loop_
_atom_site_label
_atom_site_type_symbol
_atom_site_fract_x
_atom_site_fract_y
_atom_site_fract_z
_atom_site_occupancy
Sb1 Sb 0.0000 0.5000 0.2500 1
As1 As 0.0000 0.0000 0.0000 1
Ir1 Ir 0.0000 0.0000 0.5000 1

---

# Na2ErZnF8, relaxed, DFT PBE-GGA
# Uncorrected formation energy   -2842.1 meV/atom
# Fermi-level density of states   8.755 states/eV/f.u.
# Crystal system   triclinic
# VASP energy   -0.3525 Ry per atom
# Theoretical density   4.498 g/cm3
data_Na2ErZnF8
_chemical_formula_sum 'Na2 Er1 Zn1 F8'
_cell_length_a 3.7232
_cell_length_b 5.5291
_cell_length_c 7.7599
_cell_angle_alpha 85.14
_cell_angle_beta 89.80
_cell_angle_gamma 87.10
_space_group_name_H-M_alt 'P -1'
_space_group_IT_number 2
loop_
_space_group_symop_operation_xyz
'x,y,z'
'-x,-y,-z'
loop_
_atom_site_label
_atom_site_type_symbol
_atom_site_fract_x
_atom_site_fract_y
_atom_site_fract_z
_atom_site_occupancy
Na1 Na 0.0039 0.0256 0.2386 1
Er1 Er 0.5000 0.5000 0.5000 1
Zn1 Zn 0.5000 0.5000 0.0000 1
F1 F 0.0057 0.2769 0.4683 1
F2 F 0.0760 0.7198 0.0281 1
F3 F 0.4769 0.3329 0.2292 1
F4 F 0.4785 0.2064 0.7101 1

---

# Ca2AlW, relaxed, DFT PBE-GGA
# DFT formation energy   0.77 eV/atom
# Fermi-level density of states   3.058 states/eV/f.u.
# Crystal system   tetragonal
# VASP energy   -0.3237 Ry per atom
# Theoretical density   4.966 g/cm3
data_Ca2AlW
_chemical_formula_sum 'Ca2 Al1 W1'
_cell_length_a 3.8098
_cell_length_b 3.8098
_cell_length_c 6.7040
_cell_angle_alpha 90.00
_cell_angle_beta 90.00
_cell_angle_gamma 90.00
_space_group_name_H-M_alt 'P 4/m m m'
_space_group_IT_number 123
_space_group_name_Hall '-P 4 2'
loop_
_atom_site_label
_atom_site_type_symbol
_atom_site_fract_x
_atom_site_fract_y
_atom_site_fract_z
_atom_site_occupancy
Ca1 Ca 0.0000 0.0000 0.2460 1
Al1 Al 0.5000 0.5000 0.5000 1
W1 W 0.5000 0.5000 0.0000 1

---

# Li3Pt5, relaxed, DFT PBE-GGA
# Energy above the most stable polymorph in this dataset   0.222 eV/atom
# DFT formation energy   -0.32 eV/atom
# Fermi-level density of states   5.486 states/eV/f.u.
# Crystal system   monoclinic
# VASP energy   -0.3539 Ry per atom
# Theoretical density   14.299 g/cm3
data_Li3Pt5
_chemical_formula_sum 'Li12 Pt20'
_cell_length_a 4.6233
_cell_length_b 12.6556
_cell_length_c 8.0015
_cell_angle_alpha 90.00
_cell_angle_beta 98.70
_cell_angle_gamma 90.00
_space_group_name_H-M_alt 'C 1 2/m 1'
_space_group_IT_number 12
loop_
_space_group_symop_operation_xyz
'x,y,z'
'-x,-y,-z'
'-x,y,-z'
'x,-y,z'
'x+1/2,y+1/2,z'
'-x+1/2,-y+1/2,-z'
'-x+1/2,y+1/2,-z'
'x+1/2,-y+1/2,z'
loop_
_atom_site_label
_atom_site_type_symbol
_atom_site_fract_x
_atom_site_fract_y
_atom_site_fract_z
_atom_site_occupancy
Li1 Li 0.0000 0.1653 0.0000 1
Li2 Li 0.0000 0.2842 0.5000 1
Li3 Li 0.1212 0.5000 0.3702 1
Pt1 Pt 0.0569 0.3100 0.2054 1
Pt2 Pt 0.0861 0.1048 0.3383 1
Pt3 Pt 0.2121 0.5000 0.9172 1

---

# Sr2Ce4Bi3N2, relaxed, DFT PBE-GGA
# Uncorrected formation energy   -994.3 meV/atom
# Fermi-level density of states   20.984 states/eV/f.u.
# Crystal system   tetragonal
# VASP energy   -0.4432 Ry per atom
# Theoretical density   7.286 g/cm3
data_Sr2Ce4Bi3N2
_chemical_formula_sum 'Sr4 Ce8 Bi6 N4'
_cell_length_a 4.8205
_cell_length_b 4.8205
_cell_length_c 27.2797
_cell_angle_alpha 90.00
_cell_angle_beta 90.00
_cell_angle_gamma 90.00
_space_group_name_H-M_alt 'I 4/m m m'
_space_group_IT_number 139
_space_group_name_Hall '-I 4 2'
loop_
_atom_site_label
_atom_site_type_symbol
_atom_site_fract_x
_atom_site_fract_y
_atom_site_fract_z
_atom_site_occupancy
Sr1 Sr 0.0000 0.0000 0.1954 1
Ce1 Ce 0.0000 0.5000 0.0841 1
Bi1 Bi 0.0000 0.0000 0.3253 1
Bi2 Bi 0.0000 0.0000 0.5000 1
N1 N 0.0000 0.0000 0.0965 1

---

# Sc4Ni3Ag, relaxed, DFT PBE-GGA
# DFT formation energy   -0.42 eV/atom
# Fermi-level density of states   6.188 states/eV/f.u.
# Crystal system   tetragonal
# VASP energy   -0.4488 Ry per atom
# Theoretical density   5.650 g/cm3
data_Sc4Ni3Ag
_chemical_formula_sum 'Sc4 Ni3 Ag1'
_cell_length_a 4.5504
_cell_length_b 4.5504
_cell_length_c 6.5829
_cell_angle_alpha 90.00
_cell_angle_beta 90.00
_cell_angle_gamma 90.00
_space_group_name_H-M_alt 'P 4/m m m'
_space_group_IT_number 123
_space_group_name_Hall '-P 4 2'
loop_
_atom_site_label
_atom_site_type_symbol
_atom_site_fract_x
_atom_site_fract_y
_atom_site_fract_z
_atom_site_occupancy
Sc1 Sc 0.0000 0.5000 0.2369 1
Ni1 Ni 0.0000 0.0000 0.0000 1
Ni2 Ni 0.0000 0.0000 0.5000 1
Ni3 Ni 0.5000 0.5000 0.0000 1
Ag1 Ag 0.5000 0.5000 0.5000 1

---

# Li3Cd2Hg2, relaxed, DFT PBE-GGA
# Energy above the most stable polymorph in this dataset   0.000 eV/atom
# DFT formation energy   -0.27 eV/atom
# Fermi-level density of states   2.501 states/eV/f.u.
# Crystal system   triclinic
# VASP energy   -0.1054 Ry per atom
# Theoretical density   7.858 g/cm3
data_Li3Cd2Hg2
_chemical_formula_sum 'Li3 Cd2 Hg2'
_cell_length_a 4.6962
_cell_length_b 4.7289
_cell_length_c 7.5642
_cell_angle_alpha 107.75
_cell_angle_beta 90.18
_cell_angle_gamma 119.60
_space_group_name_H-M_alt 'P -1'
_space_group_IT_number 2
loop_
_space_group_symop_operation_xyz
'x,y,z'
'-x,-y,-z'
loop_
_atom_site_label
_atom_site_type_symbol
_atom_site_fract_x
_atom_site_fract_y
_atom_site_fract_z
_atom_site_occupancy
Li1 Li 0.0000 0.0000 0.0000 1
Li2 Li 0.2766 0.5520 0.8275 1
Cd1 Cd 0.1366 0.2733 0.4090 1
Hg1 Hg 0.4067 0.8154 0.2205 1

---

# PrURu3, relaxed, DFT PBE-GGA
# Energy above the most stable polymorph in this dataset   0.000 eV/atom
# DFT formation energy   -0.22 eV/atom
# Fermi-level density of states   3.929 states/eV/f.u.
# Crystal system   triclinic
# VASP energy   -0.6615 Ry per atom
# Theoretical density   11.002 g/cm3
data_PrURu3
_chemical_formula_sum 'Pr2 U2 Ru6'
_cell_length_a 6.0090
_cell_length_b 6.2804
_cell_length_c 6.3076
_cell_angle_alpha 73.35
_cell_angle_beta 83.83
_cell_angle_gamma 64.57
_space_group_name_H-M_alt 'P 1'
_space_group_IT_number 1
loop_
_space_group_symop_operation_xyz
'x,y,z'
loop_
_atom_site_label
_atom_site_type_symbol
_atom_site_fract_x
_atom_site_fract_y
_atom_site_fract_z
_atom_site_occupancy
Pr1 Pr 0.0000 0.0000 0.0000 1
Pr2 Pr 0.4458 0.9616 0.3704 1
U1 U 0.1089 0.6178 0.5843 1
U2 U 0.6608 0.6483 0.9368 1
Ru1 Ru 0.2303 0.4542 0.9635 1
Ru2 Ru 0.4244 0.4541 0.3242 1
Ru3 Ru 0.4971 0.0685 0.8179 1
Ru4 Ru 0.6584 0.4447 0.6825 1
Ru5 Ru 0.8783 0.0349 0.4992 1
Ru6 Ru 0.9145 0.4577 0.2784 1

---

# Sm4Ho3Th2, relaxed, DFT PBE-GGA
# DFT formation energy   0.12 eV/atom
# Fermi-level density of states   14.090 states/eV/f.u.
# Crystal system   monoclinic
# VASP energy   -0.3787 Ry per atom
# Theoretical density   8.846 g/cm3
data_Sm4Ho3Th2
_chemical_formula_sum 'Sm16 Ho12 Th8'
_cell_length_a 16.2531
_cell_length_b 11.7908
_cell_length_c 6.1678
_cell_angle_alpha 90.00
_cell_angle_beta 97.63
_cell_angle_gamma 90.00
_space_group_name_H-M_alt 'C 1 2/c 1'
_space_group_IT_number 15
loop_
_space_group_symop_operation_xyz
'x,y,z'
'-x,-y,-z'
'-x,y,-z+1/2'
'x,-y,z+1/2'
'x+1/2,y+1/2,z'
'-x+1/2,-y+1/2,-z'
'-x+1/2,y+1/2,-z+1/2'
'x+1/2,-y+1/2,z+1/2'
loop_
_atom_site_label
_atom_site_type_symbol
_atom_site_fract_x
_atom_site_fract_y
_atom_site_fract_z
_atom_site_occupancy
Sm1 Sm 0.0502 0.1375 0.0170 1
Sm2 Sm 0.2161 0.3667 0.8471 1
Ho1 Ho 0.0000 0.3921 0.7500 1
Ho2 Ho 0.1690 0.1094 0.5825 1
Th1 Th 0.1098 0.3621 0.3113 1

---

# PaAlAu2, relaxed, DFT PBE-GGA
# DFT formation energy   -0.19 eV/atom
# Fermi-level density of states   4.419 states/eV/f.u.
# Crystal system   orthorhombic
# VASP energy   -0.3773 Ry per atom
# Theoretical density   12.096 g/cm3
data_PaAlAu2
_chemical_formula_sum 'Pa4 Al4 Au8'
_cell_length_a 6.8968
_cell_length_b 9.8205
_cell_length_c 5.2856
_cell_angle_alpha 90.00
_cell_angle_beta 90.00
_cell_angle_gamma 90.00
_space_group_name_H-M_alt 'C m c m'
_space_group_IT_number 63
_space_group_name_Hall '-C 2c 2'
loop_
_atom_site_label
_atom_site_type_symbol
_atom_site_fract_x
_atom_site_fract_y
_atom_site_fract_z
_atom_site_occupancy
Pa1 Pa 0.0000 0.1780 0.2500 1
Al1 Al 0.0000 0.5000 0.0000 1
Au1 Au 0.2021 0.1038 0.7500 1

---

# Tb2TlAgSe4, relaxed, DFT PBE-GGA
# Uncorrected formation energy   -1281.5 meV/atom
# Crystal system   orthorhombic
# VASP energy   -0.3553 Ry per atom
# Theoretical density   7.145 g/cm3
data_Tb2TlAgSe4
_chemical_formula_sum 'Tb8 Tl4 Ag4 Se16'
_cell_length_a 4.1918
_cell_length_b 14.0562
_cell_length_c 14.9251
_cell_angle_alpha 90.00
_cell_angle_beta 90.00
_cell_angle_gamma 90.00
_space_group_name_H-M_alt 'C m c m'
_space_group_IT_number 63
_space_group_name_Hall '-C 2c 2'
loop_
_atom_site_label
_atom_site_type_symbol
_atom_site_fract_x
_atom_site_fract_y
_atom_site_fract_z
_atom_site_occupancy
Tb1 Tb 0.0000 0.1306 0.0684 1
Tl1 Tl 0.0000 0.3777 0.2500 1
Ag1 Ag 0.0000 0.3354 0.7500 1
Se1 Se 0.0000 0.0513 0.2500 1
Se2 Se 0.0000 0.2337 0.6021 1
Se3 Se 0.0000 0.5000 0.0000 1

---

# La12As5N3, relaxed, DFT PBE-GGA
# Uncorrected formation energy   -444.7 meV/atom
# Fermi-level density of states   26.359 states/eV/f.u.
# Crystal system   cubic
# VASP energy   -0.4272 Ry per atom
# Theoretical density   5.911 g/cm3
data_La12As5N3
_chemical_formula_sum 'La96 As40 N24'
_cell_length_a 16.7297
_cell_length_b 16.7297
_cell_length_c 16.7297
_cell_angle_alpha 90.00
_cell_angle_beta 90.00
_cell_angle_gamma 90.00
_space_group_name_H-M_alt 'I a -3 d'
_space_group_IT_number 230
_space_group_name_Hall '-I 4bd 2c 3'
loop_
_atom_site_label
_atom_site_type_symbol
_atom_site_fract_x
_atom_site_fract_y
_atom_site_fract_z
_atom_site_occupancy
La1 La 0.0240 0.0972 0.6459 1
As1 As 0.0000 0.0000 0.0000 1
As2 As 0.0000 0.2500 0.3750 1
N1 N 0.0000 0.2500 0.1250 1